[1]
{
  "formula": "TaTc3Sn",
  "functional": "GGA-PBE",
  "state": "optimized geometry",
  "cell": [[4.723, 0.000, 0.000], [0.000, 4.723, 0.000], [0.000, 0.000, 4.723]],
  "species": ["Tc", "Tc", "Tc", "Sn", "Ta"],
  "fractional_positions": [[0.000, 0.500, 0.000], [0.000, 0.000, 0.500], [0.500, 0.000, 0.000], [0.000, 0.000, 0.000], [0.500, 0.500, 0.500]],
  "sg": "No. 221",
  "formation_energy_ev_per_atom": 2.032,
  "relative_energy_ev_per_atom": 0.514,
  "dos_ef_per_ev_cell": 7.43,
  "final_energy_ev_per_fu": -36.80
}



[2]
{
  "formula": "TaTcSn2",
  "functional": "GGA-PBE",
  "state": "optimized geometry",
  "cell": [[2.573, -0.337, 3.957], [2.726, 3.619, 1.365], [-1.179, 2.543, 3.812]],
  "species": ["Tc", "Sn", "Sn", "Ta"],
  "fractional_positions": [[0.000, 0.000, 0.000], [0.250, 0.250, 0.250], [0.750, 0.750, 0.750], [0.500, 0.500, 0.500]],
  "sg": "No. 225",
  "formation_energy_ev_per_atom": 0.343,
  "relative_energy_ev_per_atom": 0.000,
  "dos_ef_per_ev_cell": 5.76,
  "final_energy_ev_per_fu": -28.85
}



[3]
{
  "formula": "TaTc2Sn2",
  "functional": "GGA-PBE",
  "state": "optimized geometry",
  "cell": [[-5.890, -0.481, -4.786], [4.436, -3.470, -5.110], [-0.766, -2.778, 1.222]],
  "species": ["Tc", "Tc", "Tc", "Tc", "Sn", "Sn", "Sn", "Sn", "Ta", "Ta"],
  "fractional_positions": [[0.151, 0.651, 0.500], [0.651, 0.849, 0.500], [0.849, 0.349, 0.500], [0.349, 0.151, 0.500], [0.353, 0.853, 0.000], [0.853, 0.647, 0.000], [0.647, 0.147, 0.000], [0.147, 0.353, 0.000], [0.000, 0.000, 0.000], [0.500, 0.500, 0.000]],
  "sg": "No. 127",
  "formation_energy_ev_per_atom": 0.334,
  "dos_ef_per_ev_cell": 9.41,
  "final_energy_ev_per_fu": -38.92
}



[4]
{
  "formula": "TaTc2Sn",
  "functional": "GGA-PBE",
  "state": "optimized geometry",
  "cell": [[-0.423, 5.278, -5.039], [-7.292, -0.118, 0.489], [-3.752, 4.541, -0.229]],
  "species": ["Tc", "Tc", "Tc", "Tc", "Sn", "Sn", "Ta", "Ta"],
  "fractional_positions": [[0.658, 0.125, 0.250], [0.092, 0.625, 0.250], [0.375, 0.342, 0.750], [0.875, 0.908, 0.750], [0.500, 0.500, 0.000], [0.250, 0.750, 0.500], [0.000, 0.000, 0.000], [0.750, 0.250, 0.500]],
  "sg": "No. 122",
  "formation_energy_ev_per_atom": 0.713,
  "dos_ef_per_ev_cell": 8.22,
  "final_energy_ev_per_fu": -33.74
}



[5]
{
  "formula": "TaTcSn2",
  "functional": "GGA-PBE",
  "state": "optimized geometry",
  "cell": [[-3.299, -0.218, 2.371], [-0.993, -3.557, -1.708], [3.172, -6.711, 7.289]],
  "species": ["Tc", "Tc", "Sn", "Sn", "Sn", "Sn", "Ta", "Ta"],
  "fractional_positions": [[0.500, 0.500, 0.000], [0.250, 0.750, 0.500], [0.621, 0.125, 0.250], [0.129, 0.625, 0.250], [0.375, 0.379, 0.750], [0.875, 0.871, 0.750], [0.000, 0.000, 0.000], [0.750, 0.250, 0.500]],
  "sg": "No. 122",
  "formation_energy_ev_per_atom": 0.549,
  "relative_energy_ev_per_atom": 0.206,
  "dos_ef_per_ev_cell": 9.57,
  "final_energy_ev_per_fu": -28.03
}



[6]
{
  "formula": "TaTc4Sn2",
  "functional": "GGA-PBE",
  "state": "optimized geometry",
  "cell": [[4.692, 0.000, 0.000], [0.000, 4.692, 0.000], [2.346, 2.346, 6.850]],
  "species": ["Tc", "Tc", "Tc", "Tc", "Sn", "Sn", "Ta"],
  "fractional_positions": [[0.820, 0.820, 0.360], [0.180, 0.180, 0.640], [0.000, 0.500, 0.000], [0.500, 0.000, 0.000], [0.627, 0.627, 0.746], [0.373, 0.373, 0.254], [0.000, 0.000, 0.000]],
  "sg": "No. 139",
  "formation_energy_ev_per_atom": 1.231,
  "dos_ef_per_ev_cell": 7.43,
  "final_energy_ev_per_fu": -52.71
}



[7]
{
  "formula": "Ta3TcSn",
  "functional": "GGA-PBE",
  "state": "optimized geometry",
  "cell": [[4.948, 0.000, 0.000], [0.000, 4.948, 0.000], [0.000, 0.000, 4.948]],
  "species": ["Tc", "Sn", "Ta", "Ta", "Ta"],
  "fractional_positions": [[0.500, 0.500, 0.500], [0.000, 0.000, 0.000], [0.000, 0.500, 0.000], [0.000, 0.000, 0.500], [0.500, 0.000, 0.000]],
  "sg": "No. 221",
  "formation_energy_ev_per_atom": 2.308,
  "relative_energy_ev_per_atom": 1.344,
  "dos_ef_per_ev_cell": 4.64,
  "final_energy_ev_per_fu": -38.39
}



[8]
{
  "formula": "TaTcSn3",
  "functional": "GGA-PBE",
  "state": "optimized geometry",
  "cell": [[5.098, 0.000, 0.000], [0.000, 5.098, 0.000], [0.000, 0.000, 5.098]],
  "species": ["Tc", "Sn", "Sn", "Sn", "Ta"],
  "fractional_positions": [[0.000, 0.000, 0.000], [0.000, 0.500, 0.000], [0.000, 0.000, 0.500], [0.500, 0.000, 0.000], [0.500, 0.500, 0.500]],
  "sg": "No. 221",
  "formation_energy_ev_per_atom": 1.108,
  "relative_energy_ev_per_atom": 0.000,
  "dos_ef_per_ev_cell": 7.17,
  "final_energy_ev_per_fu": -28.69
}



[9]
{
  "formula": "Ta4Tc5Sn",
  "functional": "GGA-PBE",
  "state": "optimized geometry",
  "cell": [[-1.019, -0.100, 3.038], [2.955, -0.784, 0.965], [3.548, 15.460, 1.700]],
  "species": ["Ta", "Ta", "Ta", "Ta", "Tc", "Tc", "Tc", "Tc", "Tc", "Sn"],
  "fractional_positions": [[0.000, 0.000, 0.199], [0.000, 0.000, 0.400], [0.000, 0.000, 0.600], [0.000, 0.000, 0.801], [0.500, 0.500, 0.106], [0.500, 0.500, 0.302], [0.500, 0.500, 0.500], [0.500, 0.500, 0.698], [0.500, 0.500, 0.894], [0.000, 0.000, 0.000]],
  "sg": "No. 123",
  "formation_energy_ev_per_atom": -0.381,
  "dos_ef_per_ev_cell": 4.24,
  "final_energy_ev_per_fu": -107.06
}



[10]
{
  "formula": "Ta3TcSn",
  "functional": "GGA-PBE",
  "state": "optimized geometry",
  "cell": [[-0.095, 4.697, -1.099], [-4.815, -0.026, 0.307], [0.293, 1.103, 4.688]],
  "species": ["Tc", "Sn", "Ta", "Ta", "Ta"],
  "fractional_positions": [[0.000, 0.000, 0.000], [0.500, 0.500, 0.500], [0.000, 0.500, 0.000], [0.000, 0.000, 0.500], [0.500, 0.000, 0.000]],
  "sg": "No. 221",
  "formation_energy_ev_per_atom": 0.964,
  "relative_energy_ev_per_atom": 0.000,
  "dos_ef_per_ev_cell": 3.16,
  "final_energy_ev_per_fu": -45.10
}



[11]
{
  "formula": "Ta2TcSnW",
  "functional": "GGA-PBE",
  "state": "optimized geometry",
  "cell": [[-2.858, -2.077, 3.443], [-1.467, -3.299, -3.208], [3.731, -2.944, 1.321]],
  "species": ["Tc", "Sn", "W", "Ta", "Ta"],
  "fractional_positions": [[0.500, 0.500, 0.500], [0.000, 0.000, 0.000], [0.000, 0.500, 0.000], [0.000, 0.000, 0.500], [0.500, 0.000, 0.000]],
  "sg": "No. 123",
  "formation_energy_ev_per_atom": 2.523,
  "dos_ef_per_ev_cell": 6.04,
  "final_energy_ev_per_fu": -38.41
}



[12]
{
  "formula": "Ta4SnTe8",
  "functional": "GGA-PBE",
  "state": "optimized geometry",
  "cell": [[-1.826, 6.331, -3.324], [4.386, -4.840, -3.436], [-7.040, -6.352, -0.039]],
  "species": ["Ta", "Ta", "Ta", "Ta", "Sn", "Te", "Te", "Te", "Te", "Te", "Te", "Te", "Te"],
  "fractional_positions": [[0.000, 0.000, 0.000], [0.000, 0.500, 0.000], [0.500, 0.500, 0.000], [0.500, 0.000, 0.000], [0.000, 0.500, 0.500], [0.478, 0.739, 0.217], [0.522, 0.261, 0.783], [0.479, 0.240, 0.217], [0.022, 0.262, 0.783], [0.521, 0.760, 0.783], [0.022, 0.760, 0.783], [0.978, 0.240, 0.217], [0.978, 0.738, 0.217]],
  "sg": "No. 166",
  "raw_formation_energy_ev_per_atom": -0.208,
  "dos_ef_per_ev_cell": 8.93,
  "final_energy_ev_per_fu": -79.25
}



[13]
{
  "formula": "TaSnTe2",
  "functional": "GGA-PBE",
  "state": "optimized geometry",
  "cell": [[4.693, -0.001, 0.000], [-2.349, 5.089, 0.000], [0.000, 0.000, 8.452]],
  "species": ["Ta", "Ta", "Sn", "Sn", "Te", "Te", "Te", "Te"],
  "fractional_positions": [[0.783, 0.567, 0.750], [0.217, 0.433, 0.250], [0.912, 0.824, 0.250], [0.088, 0.176, 0.750], [0.354, 0.708, 0.552], [0.646, 0.292, 0.448], [0.354, 0.708, 0.948], [0.646, 0.292, 0.052]],
  "sg": "No. 63",
  "raw_formation_energy_ev_per_atom": 0.062,
  "dos_ef_per_ev_cell": 3.03,
  "final_energy_ev_per_fu": -21.89
}



[14]
{
  "formula": "Ta4SnTe2",
  "functional": "GGA-PBE",
  "state": "optimized geometry",
  "cell": [[-0.866, -4.193, 2.593], [-2.510, -1.891, -3.896], [4.290, -5.823, -3.152]],
  "species": ["Te", "Te", "Sn", "Ta", "Ta", "Ta", "Ta"],
  "fractional_positions": [[0.617, 0.617, 0.766], [0.383, 0.383, 0.234], [0.000, 0.000, 0.000], [0.805, 0.805, 0.390], [0.195, 0.195, 0.610], [0.000, 0.500, 0.000], [0.500, 0.000, 0.000]],
  "sg": "No. 139",
  "raw_formation_energy_ev_per_atom": 1.434,
  "dos_ef_per_ev_cell": 8.42,
  "final_energy_ev_per_fu": -47.66
}



[15]
{
  "formula": "TaSnTe3",
  "functional": "GGA-PBE",
  "state": "optimized geometry",
  "cell": [[5.439, 0.000, 0.000], [0.000, 5.439, 0.000], [0.000, 0.000, 5.439]],
  "species": ["Te", "Te", "Te", "Sn", "Ta"],
  "fractional_positions": [[0.000, 0.500, 0.000], [0.000, 0.000, 0.500], [0.500, 0.000, 0.000], [0.500, 0.500, 0.500], [0.000, 0.000, 0.000]],
  "sg": "No. 221",
  "raw_formation_energy_ev_per_atom": 0.252,
  "relative_energy_ev_per_atom": 0.263,
  "dos_ef_per_ev_cell": 6.71,
  "final_energy_ev_per_fu": -24.02
}



[16]
{
  "formula": "TaSn2Te",
  "functional": "GGA-PBE",
  "state": "optimized geometry",
  "cell": [[-4.651, 1.375, 1.675], [-1.668, 4.800, -0.712], [-3.764, 0.936, -3.360]],
  "species": ["Te", "Sn", "Sn", "Ta"],
  "fractional_positions": [[0.000, 0.000, 0.000], [0.250, 0.250, 0.250], [0.750, 0.750, 0.750], [0.500, 0.500, 0.500]],
  "sg": "No. 225",
  "raw_formation_energy_ev_per_atom": 0.659,
  "relative_energy_ev_per_atom": 0.000,
  "dos_ef_per_ev_cell": 3.90,
  "final_energy_ev_per_fu": -20.36
}



[17]
{
  "formula": "TaSnTe3",
  "functional": "GGA-PBE",
  "state": "optimized geometry",
  "cell": [[5.833, 0.000, 0.001], [-0.001, 7.704, -0.002], [0.001, -3.854, 6.672]],
  "species": ["Ta", "Ta", "Sn", "Sn", "Te", "Te", "Te", "Te", "Te", "Te"],
  "fractional_positions": [[0.000, 0.000, 0.000], [0.500, 0.000, 0.000], [0.750, 0.667, 0.334], [0.250, 0.333, 0.667], [0.750, 0.640, 0.820], [0.250, 0.820, 0.640], [0.250, 0.360, 0.180], [0.750, 0.180, 0.360], [0.250, 0.820, 0.180], [0.750, 0.180, 0.820]],
  "sg": "No. 194",
  "raw_formation_energy_ev_per_atom": -0.011,
  "relative_energy_ev_per_atom": 0.000,
  "dos_ef_per_ev_cell": 8.31,
  "final_energy_ev_per_fu": -25.33
}



[18]
{
  "formula": "Ta2SnTe",
  "functional": "GGA-PBE",
  "state": "optimized geometry",
  "cell": [[1.161, -3.760, 2.811], [-2.922, -3.847, 0.221], [1.359, -4.186, -2.002]],
  "species": ["Te", "Sn", "Ta", "Ta"],
  "fractional_positions": [[0.500, 0.500, 0.500], [0.000, 0.000, 0.000], [0.250, 0.250, 0.250], [0.750, 0.750, 0.750]],
  "sg": "No. 225",
  "raw_formation_energy_ev_per_atom": 0.247,
  "relative_energy_ev_per_atom": 0.000,
  "dos_ef_per_ev_cell": 1.63,
  "final_energy_ev_per_fu": -29.86
}



[19]
{
  "formula": "TaSnTe2",
  "functional": "GGA-PBE",
  "state": "optimized geometry",
  "cell": [[5.809, 4.384, 7.395], [6.273, 0.904, 8.215], [8.326, 2.449, 5.687]],
  "species": ["Te", "Te", "Sn", "Ta"],
  "fractional_positions": [[0.895, 0.895, 0.895], [0.105, 0.105, 0.105], [0.000, 0.000, 0.000], [0.500, 0.500, 0.500]],
  "sg": "No. 166",
  "raw_formation_energy_ev_per_atom": -0.144,
  "dos_ef_per_ev_cell": 2.17,
  "final_energy_ev_per_fu": -22.72
}



[20]
{
  "formula": "Ta3SnTe",
  "functional": "GGA-PBE",
  "state": "optimized geometry",
  "cell": [[5.013, 0.000, 0.000], [0.000, 5.013, 0.000], [0.000, 0.000, 5.013]],
  "species": ["Te", "Sn", "Ta", "Ta", "Ta"],
  "fractional_positions": [[0.000, 0.000, 0.000], [0.500, 0.500, 0.500], [0.000, 0.500, 0.000], [0.000, 0.000, 0.500], [0.500, 0.000, 0.000]],
  "sg": "No. 221",
  "raw_formation_energy_ev_per_atom": 1.644,
  "relative_energy_ev_per_atom": 0.000,
  "dos_ef_per_ev_cell": 7.84,
  "final_energy_ev_per_fu": -34.48
}



[21]
{
  "formula": "TaSnTe3",
  "functional": "GGA-PBE",
  "state": "optimized geometry",
  "cell": [[5.548, 0.000, 0.000], [0.000, 5.548, 0.000], [0.000, 0.000, 5.548]],
  "species": ["Te", "Te", "Te", "Sn", "Ta"],
  "fractional_positions": [[0.000, 0.500, 0.000], [0.000, 0.000, 0.500], [0.500, 0.000, 0.000], [0.000, 0.000, 0.000], [0.500, 0.500, 0.500]],
  "sg": "No. 221",
  "raw_formation_energy_ev_per_atom": 1.274,
  "relative_energy_ev_per_atom": 1.285,
  "dos_ef_per_ev_cell": 4.17,
  "final_energy_ev_per_fu": -18.91
}



[22]
{
  "formula": "TaSnTe2",
  "functional": "GGA-PBE",
  "state": "optimized geometry",
  "cell": [[-3.881, -9.897, 7.668], [-5.365, -10.828, 5.078], [-2.381, -11.635, 5.546]],
  "species": ["Te", "Te", "Sn", "Ta"],
  "fractional_positions": [[0.926, 0.926, 0.926], [0.074, 0.074, 0.074], [0.500, 0.500, 0.500], [0.000, 0.000, 0.000]],
  "sg": "No. 166",
  "raw_formation_energy_ev_per_atom": 0.527,
  "dos_ef_per_ev_cell": 3.67,
  "final_energy_ev_per_fu": -20.03
}



[23]
{
  "formula": "Ta2SnTe",
  "functional": "GGA-PBE",
  "state": "optimized geometry",
  "cell": [[4.243, 0.000, 0.000], [0.000, 4.243, 0.000], [2.121, 2.121, 9.970]],
  "species": ["Te", "Te", "Sn", "Sn", "Ta", "Ta", "Ta", "Ta"],
  "fractional_positions": [[0.000, 0.000, 0.000], [0.750, 0.250, 0.500], [0.500, 0.500, 0.000], [0.250, 0.750, 0.500], [0.623, 0.125, 0.250], [0.127, 0.625, 0.250], [0.375, 0.377, 0.750], [0.875, 0.873, 0.750]],
  "sg": "No. 122",
  "raw_formation_energy_ev_per_atom": 0.559,
  "relative_energy_ev_per_atom": 0.312,
  "dos_ef_per_ev_cell": 4.13,
  "final_energy_ev_per_fu": -28.61
}



[24]
{
  "formula": "TaSn2Te",
  "functional": "GGA-PBE",
  "state": "optimized geometry",
  "cell": [[6.613, 0.000, 0.000], [0.000, 6.613, 0.000], [3.306, 3.306, 6.711]],
  "species": ["Te", "Te", "Sn", "Sn", "Sn", "Sn", "Ta", "Ta"],
  "fractional_positions": [[0.500, 0.500, 0.000], [0.250, 0.750, 0.500], [0.660, 0.125, 0.250], [0.090, 0.625, 0.250], [0.375, 0.340, 0.750], [0.875, 0.910, 0.750], [0.000, 0.000, 0.000], [0.750, 0.250, 0.500]],
  "sg": "No. 122",
  "raw_formation_energy_ev_per_atom": 0.820,
  "relative_energy_ev_per_atom": 0.161,
  "dos_ef_per_ev_cell": 6.92,
  "final_energy_ev_per_fu": -19.72
}



[25]
{
  "formula": "TaSnTe2",
  "functional": "GGA-PBE",
  "state": "optimized geometry",
  "cell": [[7.153, 0.000, 0.000], [0.000, 7.153, 0.000], [3.576, 3.576, 5.737]],
  "species": ["Te", "Te", "Te", "Te", "Sn", "Sn", "Ta", "Ta"],
  "fractional_positions": [[0.675, 0.125, 0.250], [0.075, 0.625, 0.250], [0.375, 0.325, 0.750], [0.875, 0.925, 0.750], [0.500, 0.500, 0.000], [0.250, 0.750, 0.500], [0.000, 0.000, 0.000], [0.750, 0.250, 0.500]],
  "sg": "No. 122",
  "raw_formation_energy_ev_per_atom": 0.436,
  "dos_ef_per_ev_cell": 7.11,
  "final_energy_ev_per_fu": -20.39
}



[26]
{
  "formula": "ZrTaSn2Te",
  "functional": "GGA-PBE",
  "state": "optimized geometry",
  "cell": [[5.570, 0.000, 0.000], [0.000, 5.027, 0.000], [0.000, 0.000, 5.570]],
  "species": ["Te", "Sn", "Sn", "Zr", "Ta"],
  "fractional_positions": [[0.000, 0.000, 0.000], [0.000, 0.000, 0.500], [0.500, 0.000, 0.000], [0.500, 0.500, 0.500], [0.000, 0.500, 0.000]],
  "sg": "No. 123",
  "raw_formation_energy_ev_per_atom": 1.335,
  "dos_ef_per_ev_cell": 6.35,
  "final_energy_ev_per_fu": -24.87
}



[27]
{
  "formula": "Th2TaSn",
  "functional": "GGA-PBE",
  "state": "optimized geometry",
  "cell": [[3.286, 0.000, 0.000], [1.643, 2.846, 0.000], [1.643, 0.949, 11.627]],
  "species": ["Sn", "Th", "Th", "Ta"],
  "fractional_positions": [[0.500, 0.500, 0.500], [0.085, 0.085, 0.746], [0.915, 0.915, 0.254], [0.000, 0.000, 0.000]],
  "sg": "No. 166",
  "formation_energy_ev_per_atom": 0.441,
  "dos_ef_per_ev_cell": 4.76,
  "final_energy_ev_per_fu": -28.93
}